# PBE Zr2RhPb, optimized geometry
data_Zr2RhPb
_space_group_name_H-M_alt 'F -4 3 m'
_space_group_IT_number 216
_space_group_name_Hall 'F -4 2 3'
_cell_length_a 6.913
_cell_length_b 6.913
_cell_length_c 6.913
_cell_angle_alpha 90.00
_cell_angle_beta 90.00
_cell_angle_gamma 90.00
loop_
_atom_site_label
_atom_site_type_symbol
_atom_site_fract_x
_atom_site_fract_y
_atom_site_fract_z
Zr1 Zr 0.000 0.000 0.000
Zr2 Zr 0.250 0.250 0.250
Rh1 Rh 0.250 0.250 0.750
Pb1 Pb 0.000 0.000 0.500
# * magnetization: 11.3 μB per cell
# * VASP energy: -7.124 eV per atom